one) {"formula": "CaHoTlAu", "functional": "PBE", "state": "relaxed", "lattice_angstrom": [[3.710, 0.000, 0.000], [0.000, 3.710, 0.000], [0.000, 0.000, 7.542]], "species": ["Ca", "Ho", "Tl", "Au"], "frac_coords": [[0.000, 0.000, 0.000], [0.000, 0.000, 0.460], [0.500, 0.500, 0.724], [0.500, 0.500, 0.260]], "spacegroup": "No. 99", "n_ef_per_ev_atom": 0.408, "density_kg_m3": 9698}

two) {"formula": "CaHoTlAu", "functional": "PBE", "state": "relaxed", "lattice_angstrom": [[0.000, 3.709, 3.709], [3.709, 0.000, 3.709], [3.709, 3.709, 0.000]], "species": ["Ca", "Ho", "Tl", "Au"], "frac_coords": [[0.000, 0.000, 0.000], [0.500, 0.500, 0.500], [0.250, 0.250, 0.250], [0.750, 0.750, 0.750]], "spacegroup": "No. 216", "n_ef_per_ev_atom": 0.906, "density_kg_m3": 9869}

Pick one): it beats the second-best structure by 5.1 kJ/mol of atoms.

one) {"formula": "CaAuI3", "functional": "PBE", "state": "relaxed", "lattice_angstrom": [[5.716, 0.000, 0.000], [0.000, 5.716, 0.000], [0.000, 0.000, 5.716]], "species": ["Ca", "Au", "I", "I", "I"], "frac_coords": [[0.000, 0.000, 0.000], [0.500, 0.500, 0.500], [0.000, 0.500, 0.500], [0.500, 0.000, 0.500], [0.500, 0.500, 0.000]], "spacegroup": "No. 221", "n_ef_per_ev_atom": 0.224, "density_kg_m3": 5493}

two) {"formula": "CaAuI3", "functional": "PBE", "state": "relaxed", "lattice_angstrom": [[6.056, 0.000, 0.000], [0.000, 6.056, 0.000], [0.000, 0.000, 6.056]], "species": ["Ca", "Au", "I", "I", "I"], "frac_coords": [[0.000, 0.000, 0.000], [0.500, 0.500, 0.500], [0.000, 0.000, 0.500], [0.000, 0.500, 0.000], [0.500, 0.000, 0.000]], "spacegroup": "No. 221", "n_ef_per_ev_atom": 0.624, "density_kg_m3": 4620}

Pick one): it beats the second-best structure by 10.6 kJ/mol of atoms.

one) {"formula": "Ca2Au2I", "functional": "PBE", "state": "relaxed", "lattice_angstrom": [[-2.658, 2.658, 5.429], [2.658, -2.658, 5.429], [2.658, 2.658, -5.429]], "species": ["Ca", "Ca", "Au", "Au", "I"], "frac_coords": [[0.250, 0.750, 0.500], [0.750, 0.250, 0.500], [0.126, 0.126, 0.000], [0.874, 0.874, 0.000], [0.500, 0.500, 0.000]], "spacegroup": "No. 139", "n_ef_per_ev_atom": 0.745, "density_kg_m3": 6504}

two) {"formula": "Ca2Au2I", "functional": "PBE", "state": "relaxed", "lattice_angstrom": [[8.400, 0.000, 0.000], [0.000, 8.400, 0.000], [0.000, 0.000, 3.849]], "species": ["Ca", "Ca", "Ca", "Ca", "Au", "Au", "Au", "Au", "I", "I"], "frac_coords": [[0.172, 0.328, 0.000], [0.328, 0.828, 0.000], [0.672, 0.172, 0.000], [0.828, 0.672, 0.000], [0.120, 0.620, 0.500], [0.380, 0.120, 0.500], [0.620, 0.880, 0.500], [0.880, 0.380, 0.500], [0.000, 0.000, 0.500], [0.500, 0.500, 0.500]], "spacegroup": "No. 127", "n_ef_per_ev_atom": 0.385, "density_kg_m3": 7349}

three) {"formula": "Ca2Au2I", "functional": "PBE", "state": "relaxed", "lattice_angstrom": [[8.463, 0.000, 0.000], [0.000, 8.463, 0.000], [0.000, 0.000, 3.970]], "species": ["Ca", "Ca", "Ca", "Ca", "Au", "Au", "Au", "Au", "I", "I"], "frac_coords": [[0.171, 0.329, 0.000], [0.329, 0.829, 0.000], [0.671, 0.171, 0.000], [0.829, 0.671, 0.000], [0.120, 0.620, 0.500], [0.380, 0.120, 0.500], [0.620, 0.880, 0.500], [0.880, 0.380, 0.500], [0.000, 0.000, 0.000], [0.500, 0.500, 0.000]], "spacegroup": "No. 127", "n_ef_per_ev_atom": 0.512, "density_kg_m3": 7019}

Pick three): it beats the second-best structure by 1.8 kJ/mol of atoms.

one) {"formula": "CaSbAuI2", "functional": "PBE", "state": "relaxed", "lattice_angstrom": [[5.641, 0.000, 0.000], [0.000, 5.641, 0.000], [0.000, 0.000, 5.577]], "species": ["Ca", "Sb", "Au", "I", "I"], "frac_coords": [[0.000, 0.000, 0.000], [0.500, 0.500, 0.000], [0.500, 0.500, 0.500], [0.000, 0.500, 0.500], [0.500, 0.000, 0.500]], "spacegroup": "No. 123", "n_ef_per_ev_atom": 1.093, "density_kg_m3": 5732}

two) {"formula": "CaSbAuI2", "functional": "PBE", "state": "relaxed", "lattice_angstrom": [[5.850, 0.000, 0.000], [0.000, 5.850, 0.000], [0.000, 0.000, 6.412]], "species": ["Ca", "Sb", "Au", "I", "I"], "frac_coords": [[0.000, 0.000, 0.000], [0.000, 0.000, 0.500], [0.500, 0.500, 0.500], [0.000, 0.500, 0.000], [0.500, 0.000, 0.000]], "spacegroup": "No. 123", "n_ef_per_ev_atom": 1.230, "density_kg_m3": 4635}

Pick one): it beats the second-best structure by 25.1 kJ/mol of atoms.

one) {"formula": "CaIn2Au6", "functional": "PBE", "state": "relaxed", "lattice_angstrom": [[-1.844, 3.767, 7.113], [1.844, -3.767, 7.113], [1.844, 3.767, -7.113]], "species": ["Ca", "In", "In", "Au", "Au", "Au", "Au", "Au", "Au"], "frac_coords": [[0.000, 0.000, 0.000], [0.358, 0.858, 0.500], [0.642, 0.142, 0.500], [0.006, 0.321, 0.685], [0.317, 0.500, 0.817], [0.363, 0.679, 0.685], [0.637, 0.321, 0.315], [0.683, 0.500, 0.183], [0.994, 0.679, 0.315]], "spacegroup": "No. 71", "n_ef_per_ev_atom": 0.303, "density_kg_m3": 12196}

two) {"formula": "CaIn2Au6", "functional": "PBE", "state": "relaxed", "lattice_angstrom": [[4.534, -7.507, 0.000], [4.534, 7.507, 0.000], [-0.103, 0.000, 5.330]], "species": ["Ca", "Ca", "In", "In", "In", "In", "Au", "Au", "Au", "Au", "Au", "Au", "Au", "Au", "Au", "Au", "Au", "Au"], "frac_coords": [[0.249, 0.751, 0.750], [0.751, 0.249, 0.250], [0.160, 0.342, 0.497], [0.342, 0.160, 0.997], [0.658, 0.840, 0.003], [0.840, 0.658, 0.503], [0.011, 0.167, 0.987], [0.086, 0.588, 0.242], [0.167, 0.011, 0.487], [0.334, 0.493, 0.009], [0.412, 0.914, 0.258], [0.493, 0.334, 0.509], [0.507, 0.666, 0.491], [0.588, 0.086, 0.742], [0.666, 0.507, 0.991], [0.833, 0.989, 0.513], [0.914, 0.412, 0.758], [0.989, 0.833, 0.013]], "spacegroup": "No. 15", "n_ef_per_ev_atom": 0.203, "density_kg_m3": 13286}

Pick two): it beats the second-best structure by 1.3 kJ/mol of atoms.

one) {"formula": "CaInAu6", "functional": "PBE", "state": "relaxed", "lattice_angstrom": [[4.827, 0.000, 0.000], [0.000, 3.360, 4.886], [0.000, -3.360, 4.886]], "species": ["Ca", "In", "Au", "Au", "Au", "Au", "Au", "Au"], "frac_coords": [[0.000, 0.000, 0.000], [0.500, 0.720, 0.720], [0.000, 0.053, 0.490], [0.000, 0.490, 0.053], [0.000, 0.543, 0.543], [0.500, 0.186, 0.186], [0.500, 0.229, 0.669], [0.500, 0.669, 0.229]], "spacegroup": "No. 38", "n_ef_per_ev_atom": 0.309, "density_kg_m3": 14002}

two) {"formula": "CaInAu6", "functional": "PBE", "state": "relaxed", "lattice_angstrom": [[5.440, 0.000, 0.000], [0.000, 5.440, 0.000], [0.000, 0.000, 5.440]], "species": ["Ca", "In", "Au", "Au", "Au", "Au", "Au", "Au"], "frac_coords": [[0.000, 0.000, 0.000], [0.500, 0.500, 0.500], [0.000, 0.251, 0.500], [0.000, 0.749, 0.500], [0.251, 0.500, 0.000], [0.500, 0.000, 0.251], [0.500, 0.000, 0.749], [0.749, 0.500, 0.000]], "spacegroup": "No. 200", "n_ef_per_ev_atom": 0.465, "density_kg_m3": 13786}

Pick one): it beats the second-best structure by 3.4 kJ/mol of atoms.

one) {"formula": "Ca3InAu4", "functional": "PBE", "state": "relaxed", "lattice_angstrom": [[-2.030, 3.504, 7.429], [2.030, -3.504, 7.429], [2.030, 3.504, -7.429]], "species": ["Ca", "Ca", "Ca", "In", "Au", "Au", "Au", "Au"], "frac_coords": [[0.000, 0.000, 0.000], [0.310, 0.810, 0.500], [0.690, 0.190, 0.500], [0.500, 0.500, 0.000], [0.072, 0.374, 0.699], [0.325, 0.626, 0.699], [0.675, 0.374, 0.301], [0.928, 0.626, 0.301]], "spacegroup": "No. 71", "n_ef_per_ev_atom": 0.439, "density_kg_m3": 8036}

two) {"formula": "Ca3InAu4", "functional": "PBE", "state": "relaxed", "lattice_angstrom": [[2.540, 1.466, 8.280], [-2.540, 1.466, 8.280], [0.000, -2.933, 8.280]], "species": ["Ca", "Ca", "Ca", "In", "Au", "Au", "Au", "Au"], "frac_coords": [[0.000, 0.000, 0.000], [0.245, 0.245, 0.245], [0.755, 0.755, 0.755], [0.500, 0.500, 0.500], [0.123, 0.123, 0.123], [0.373, 0.373, 0.373], [0.627, 0.627, 0.627], [0.877, 0.877, 0.877]], "spacegroup": "No. 166", "n_ef_per_ev_atom": 0.480, "density_kg_m3": 9181}

Pick two): it beats the second-best structure by 6.8 kJ/mol of atoms.

one) {"formula": "CaIn4Au2", "functional": "PBE", "state": "relaxed", "lattice_angstrom": [[18.716, 0.000, 0.000], [0.000, 4.613, 0.000], [0.000, 0.000, 7.735]], "species": ["Ca", "Ca", "Ca", "Ca", "In", "In", "In", "In", "In", "In", "In", "In", "In", "In", "In", "In", "In", "In", "In", "In", "Au", "Au", "Au", "Au", "Au", "Au", "Au", "Au"], "frac_coords": [[0.145, 0.250, 0.054], [0.355, 0.750, 0.554], [0.645, 0.250, 0.446], [0.855, 0.750, 0.946], [0.034, 0.750, 0.867], [0.066, 0.250, 0.491], [0.187, 0.750, 0.754], [0.188, 0.750, 0.349], [0.312, 0.250, 0.849], [0.313, 0.250, 0.254], [0.434, 0.750, 0.991], [0.466, 0.250, 0.367], [0.534, 0.750, 0.633], [0.566, 0.250, 0.009], [0.687, 0.750, 0.746], [0.688, 0.750, 0.151], [0.812, 0.250, 0.651], [0.813, 0.250, 0.246], [0.934, 0.750, 0.509], [0.966, 0.250, 0.133], [0.043, 0.750, 0.246], [0.221, 0.250, 0.552], [0.279, 0.750, 0.052], [0.457, 0.250, 0.746], [0.543, 0.750, 0.254], [0.721, 0.250, 0.948], [0.779, 0.750, 0.448], [0.957, 0.250, 0.754]], "spacegroup": "No. 62", "n_ef_per_ev_atom": 0.352, "density_kg_m3": 8884}

two) {"formula": "CaIn4Au2", "functional": "PBE", "state": "relaxed", "lattice_angstrom": [[2.295, -8.989, 0.000], [2.295, 8.989, 0.000], [0.000, 0.000, 4.231]], "species": ["Ca", "In", "In", "In", "In", "Au", "Au"], "frac_coords": [[0.000, 0.000, 0.000], [0.170, 0.830, 0.500], [0.313, 0.687, 0.000], [0.687, 0.313, 0.000], [0.830, 0.170, 0.500], [0.425, 0.575, 0.500], [0.575, 0.425, 0.500]], "spacegroup": "No. 65", "n_ef_per_ev_atom": 0.400, "density_kg_m3": 8495}

Pick one): it beats the second-best structure by 8.0 kJ/mol of atoms.

one) {"formula": "CaPmInAu", "functional": "PBE", "state": "relaxed", "lattice_angstrom": [[3.695, 0.000, 0.000], [0.000, 3.695, 0.000], [0.000, 0.000, 7.855]], "species": ["Ca", "Pm", "In", "Au"], "frac_coords": [[0.000, 0.000, 0.000], [0.000, 0.000, 0.461], [0.500, 0.500, 0.730], [0.500, 0.500, 0.239]], "spacegroup": "No. 99", "n_ef_per_ev_atom": 0.836, "density_kg_m3": 7693}

two) {"formula": "CaPmInAu", "functional": "PBE", "state": "relaxed", "lattice_angstrom": [[0.000, 3.757, 3.757], [3.757, 0.000, 3.757], [3.757, 3.757, 0.000]], "species": ["Ca", "Pm", "In", "Au"], "frac_coords": [[0.000, 0.000, 0.000], [0.500, 0.500, 0.500], [0.250, 0.250, 0.250], [0.750, 0.750, 0.750]], "spacegroup": "No. 216", "n_ef_per_ev_atom": 0.783, "density_kg_m3": 7781}

Pick one): it beats the second-best structure by 1.8 kJ/mol of atoms.

one) {"formula": "CaPrInAu", "functional": "PBE", "state": "relaxed", "lattice_angstrom": [[3.705, 0.000, 0.000], [0.000, 3.705, 0.000], [0.000, 0.000, 7.941]], "species": ["Ca", "Pr", "In", "Au"], "frac_coords": [[0.000, 0.000, 0.000], [0.000, 0.000, 0.463], [0.500, 0.500, 0.734], [0.500, 0.500, 0.228]], "spacegroup": "No. 99", "n_ef_per_ev_atom": 0.928, "density_kg_m3": 7505}

two) {"formula": "CaPrInAu", "functional": "PBE", "state": "relaxed", "lattice_angstrom": [[0.000, 3.788, 3.788], [3.788, 0.000, 3.788], [3.788, 3.788, 0.000]], "species": ["Ca", "Pr", "In", "Au"], "frac_coords": [[0.000, 0.000, 0.000], [0.500, 0.500, 0.500], [0.250, 0.250, 0.250], [0.750, 0.750, 0.750]], "spacegroup": "No. 216", "n_ef_per_ev_atom": 0.756, "density_kg_m3": 7529}

Pick one): it beats the second-best structure by 0.8 kJ/mol of atoms.

one) {"formula": "CaIn2RuAu", "functional": "PBE", "state": "relaxed", "lattice_angstrom": [[5.776, 0.000, 0.000], [0.000, 5.776, 0.000], [0.000, 0.000, 4.689]], "species": ["Ca", "In", "In", "Ru", "Au"], "frac_coords": [[0.000, 0.000, 0.000], [0.000, 0.500, 0.000], [0.500, 0.000, 0.000], [0.000, 0.000, 0.500], [0.500, 0.500, 0.500]], "spacegroup": "No. 123", "n_ef_per_ev_atom": 0.936, "density_kg_m3": 6027}

two) {"formula": "CaIn2RuAu", "functional": "PBE", "state": "relaxed", "lattice_angstrom": [[5.034, 0.000, 0.000], [0.000, 5.034, 0.000], [0.000, 0.000, 5.327]], "species": ["Ca", "In", "In", "Ru", "Au"], "frac_coords": [[0.000, 0.000, 0.000], [0.000, 0.500, 0.500], [0.500, 0.000, 0.500], [0.500, 0.500, 0.500], [0.500, 0.500, 0.000]], "spacegroup": "No. 123", "n_ef_per_ev_atom": 0.709, "density_kg_m3": 6985}

Pick two): it beats the second-best structure by 121.1 kJ/mol of atoms.

one) {"formula": "CaSmInAu", "functional": "PBE", "state": "relaxed", "lattice_angstrom": [[3.693, 0.000, 0.000], [0.000, 3.693, 0.000], [0.000, 0.000, 7.819]], "species": ["Ca", "Sm", "In", "Au"], "frac_coords": [[0.000, 0.000, 0.000], [0.000, 0.000, 0.460], [0.500, 0.500, 0.729], [0.500, 0.500, 0.243]], "spacegroup": "No. 99", "n_ef_per_ev_atom": 0.773, "density_kg_m3": 7821}

two) {"formula": "CaSmInAu", "functional": "PBE", "state": "relaxed", "lattice_angstrom": [[0.000, 3.746, 3.746], [3.746, 0.000, 3.746], [3.746, 3.746, 0.000]], "species": ["Ca", "Sm", "In", "Au"], "frac_coords": [[0.000, 0.000, 0.000], [0.500, 0.500, 0.500], [0.250, 0.250, 0.250], [0.750, 0.750, 0.750]], "spacegroup": "No. 216", "n_ef_per_ev_atom": 0.815, "density_kg_m3": 7931}

Pick one): it beats the second-best structure by 2.3 kJ/mol of atoms.